# CaZnMo4

Crystalline CaZnMo4 at its relaxed geometry (PBE, Alexandria via LeMat-Bulk).

abc: 7.608 7.608 7.608
angles: 90.00 90.00 90.00
Space group F-43m (No. 216)
Unique sites:
Ca1 0.000 0.000 0.000
Zn1 0.250 0.250 0.250
Mo1 0.125 0.125 0.625

Values from the calculation:
Size of the total moment, μB/cell: 0.000
Energy relative to the elements, eV/atom: 0.51
Density, g cm⁻³: 7.4

***

# CaZnMo2

Crystalline CaZnMo2 at its relaxed geometry (PBE, Alexandria via LeMat-Bulk).

abc: 10.893 2.730 5.087
angles: 90.00 106.74 90.00
Space group C2/m (No. 12)
Unique sites:
Ca1 0.000 0.000 0.000
Zn1 0.000 0.500 0.500
Mo1 0.226 0.000 0.730

Values from the calculation:
Size of the total moment, μB/cell: 0.000
Energy relative to the elements, eV/atom: 0.50
Density, g cm⁻³: 6.8

***

# CaZnMo2

Crystalline CaZnMo2 at its relaxed geometry (PBE, Alexandria via LeMat-Bulk).

abc: 2.749 2.749 9.416
angles: 90.00 90.00 90.00
Space group P4mm (No. 99)
Unique sites:
Ca1 0.000 0.000 0.000
Zn1 0.500 0.500 0.737
Mo1 0.000 0.000 0.522
Mo2 0.500 0.500 0.280

Values from the calculation:
Size of the total moment, μB/cell: 0.000
Energy relative to the elements, eV/atom: 0.47
Density, g cm⁻³: 6.9

***

# CaZnMo2

Crystalline CaZnMo2 at its relaxed geometry (PBE, Alexandria via LeMat-Bulk).

abc: 2.700 4.927 5.474
angles: 90.00 90.00 90.00
Space group Pmmm (No. 47)
Unique sites:
Ca1 0.000 0.000 0.000
Zn1 0.000 0.000 0.500
Mo1 0.500 0.500 0.241

Values from the calculation:
Size of the total moment, μB/cell: 0.000
Energy relative to the elements, eV/atom: 0.65
Density, g cm⁻³: 6.8

***

# CaZnMo2

Crystalline CaZnMo2 at its relaxed geometry (PBE, Alexandria via LeMat-Bulk).

abc: 9.208 2.745 5.932
angles: 90.00 93.34 90.00
Space group Cm (No. 8)
Unique sites:
Ca1 0.000 0.000 0.000
Zn1 0.250 0.500 0.279
Mo1 0.238 0.000 0.689
Mo2 0.482 0.000 0.508

Values from the calculation:
Size of the total moment, μB/cell: 0.000
Energy relative to the elements, eV/atom: 0.47
Density, g cm⁻³: 6.6

***

# Ca2ZnMo2

Crystalline Ca2ZnMo2 at its relaxed geometry (PBE, Alexandria via LeMat-Bulk).

abc: 5.928 5.928 7.514
angles: 90.00 90.00 90.00
Space group I4/mmm (No. 139)
Unique sites:
Ca1 0.000 0.500 0.250
Zn1 0.000 0.000 0.000
Mo1 0.000 0.000 0.358

Values from the calculation:
Size of the total moment, μB/cell: 0.000
Energy relative to the elements, eV/atom: 0.98
Density, g cm⁻³: 4.2

***

# CaZn2Mo

Crystalline CaZn2Mo at its relaxed geometry (PBE, Alexandria via LeMat-Bulk).

abc: 2.901 2.901 8.494
angles: 90.00 90.00 90.00
Space group P4/mmm (No. 123)
Unique sites:
Ca1 0.000 0.000 0.000
Zn1 0.500 0.500 0.275
Mo1 0.000 0.000 0.500

Values from the calculation:
Size of the total moment, μB/cell: 0.000
Energy relative to the elements, eV/atom: 0.19
Density, g cm⁻³: 6.2
Excess energy over the best structure of this formula in the dataset, meV/atom: 38

***

# CaZnMo2

Crystalline CaZnMo2 at its relaxed geometry (PBE, Alexandria via LeMat-Bulk).

abc: 3.270 3.293 7.242
angles: 90.00 92.02 90.00
Space group Pm (No. 6)
Unique sites:
Ca1 0.000 0.000 0.000
Zn1 0.478 0.500 0.702
Mo1 0.502 0.500 0.313
Mo2 0.954 0.000 0.485

Values from the calculation:
Size of the total moment, μB/cell: 0.000
Energy relative to the elements, eV/atom: 0.22
Density, g cm⁻³: 6.3